Record 1
The following is a PBE-GGA calculation of an optimized crystal structure of La7Tl3Cd2, from Alexandria.

Structure (CIF):
```
data_La7Tl3Cd2
_symmetry_space_group_name_H-M 'C m m m'
_symmetry_Int_Tables_number 65
_symmetry_space_group_name_Hall '-C 2 2'
_cell_length_a 5.797
_cell_length_b 24.884
_cell_length_c 5.808
_cell_angle_alpha 90.00
_cell_angle_beta 90.00
_cell_angle_gamma 90.00
loop_
_atom_site_label
_atom_site_type_symbol
_atom_site_fract_x
_atom_site_fract_y
_atom_site_fract_z
La1 La 0.000 0.000 0.000
La2 La 0.000 0.087 0.500
La3 La 0.000 0.287 0.000
La4 La 0.000 0.422 0.000
Tl1 Tl 0.000 0.347 0.500
Tl2 Tl 0.000 0.500 0.500
Cd1 Cd 0.000 0.151 0.000
```

Size of the total moment = 2.18 μB per formula unit



Record 2
The following is a PBE-GGA calculation of an optimized crystal structure of La2Tl2Cd, from Alexandria.

Structure (CIF):
```
data_La2Tl2Cd
_symmetry_space_group_name_H-M 'P 4/m b m'
_symmetry_Int_Tables_number 127
_symmetry_space_group_name_Hall '-P 4 2ab'
_cell_length_a 9.266
_cell_length_b 9.266
_cell_length_c 3.846
_cell_angle_alpha 90.00
_cell_angle_beta 90.00
_cell_angle_gamma 90.00
loop_
_atom_site_label
_atom_site_type_symbol
_atom_site_fract_x
_atom_site_fract_y
_atom_site_fract_z
La1 La 0.178 0.322 0.000
Tl1 Tl 0.122 0.622 0.500
Cd1 Cd 0.000 0.000 0.000
```

Size of the total moment = 0.00 μB per formula unit



Record 3
The following is a PBE-GGA calculation of an optimized crystal structure of LaTlCd, from Alexandria.

Structure (CIF):
```
data_LaTlCd
_symmetry_space_group_name_H-M 'C 1 2/m 1'
_symmetry_Int_Tables_number 12
_cell_length_a 11.733
_cell_length_b 5.059
_cell_length_c 7.805
_cell_angle_alpha 90.00
_cell_angle_beta 131.08
_cell_angle_gamma 90.00
loop_
_symmetry_equiv_pos_as_xyz
'x,y,z'
'-x,-y,-z'
'-x,y,-z'
'x,-y,z'
'x+1/2,y+1/2,z'
'-x+1/2,-y+1/2,-z'
'-x+1/2,y+1/2,-z'
'x+1/2,-y+1/2,z'
loop_
_atom_site_label
_atom_site_type_symbol
_atom_site_fract_x
_atom_site_fract_y
_atom_site_fract_z
La1 La 0.000 0.000 0.000
La2 La 0.000 0.000 0.500
Tl1 Tl 0.162 0.500 0.364
Cd1 Cd 0.175 0.500 0.947
```

Size of the total moment = 0.00 μB per formula unit



Record 4
The following is a PBE-GGA calculation of an optimized crystal structure of LaTlCd, from Alexandria.

Structure (CIF):
```
data_LaTlCd
_symmetry_space_group_name_H-M 'I m m 2'
_symmetry_Int_Tables_number 44
_cell_length_a 5.048
_cell_length_b 7.765
_cell_length_c 8.844
_cell_angle_alpha 90.00
_cell_angle_beta 90.00
_cell_angle_gamma 90.00
loop_
_symmetry_equiv_pos_as_xyz
'x,y,z'
'-x,-y,z'
'-x,y,z'
'x,-y,z'
'x+1/2,y+1/2,z+1/2'
'-x+1/2,-y+1/2,z+1/2'
'-x+1/2,y+1/2,z+1/2'
'x+1/2,-y+1/2,z+1/2'
loop_
_atom_site_label
_atom_site_type_symbol
_atom_site_fract_x
_atom_site_fract_y
_atom_site_fract_z
La1 La 0.000 0.000 0.000
La2 La 0.000 0.500 0.008
Tl1 Tl 0.000 0.225 0.671
Cd1 Cd 0.000 0.203 0.333
```

Size of the total moment = 0.00 μB per formula unit



Record 5
The following is a PBE-GGA calculation of an optimized crystal structure of LaTlCd, from Alexandria.

Structure (CIF):
```
data_LaTlCd
_symmetry_space_group_name_H-M 'A m m 2'
_symmetry_Int_Tables_number 38
_cell_length_a 5.241
_cell_length_b 4.841
_cell_length_c 13.508
_cell_angle_alpha 90.00
_cell_angle_beta 90.00
_cell_angle_gamma 90.00
loop_
_symmetry_equiv_pos_as_xyz
'x,y,z'
'-x,-y,z'
'-x,y,z'
'x,-y,z'
'x,y+1/2,z+1/2'
'-x,-y+1/2,z+1/2'
'-x,y+1/2,z+1/2'
'x,-y+1/2,z+1/2'
loop_
_atom_site_label
_atom_site_type_symbol
_atom_site_fract_x
_atom_site_fract_y
_atom_site_fract_z
La1 La 0.000 0.000 0.000
La2 La 0.500 0.000 0.194
Tl1 Tl 0.000 0.000 0.677
Tl2 Tl 0.500 0.000 0.856
Cd1 Cd 0.000 0.000 0.339
Cd2 Cd 0.500 0.000 0.503
```

Size of the total moment = 0.00 μB per formula unit



Record 6
The following is a PBE-GGA calculation of an optimized crystal structure of LaTl2Cd2, from Alexandria.

Structure (CIF):
```
data_LaTl2Cd2
_symmetry_space_group_name_H-M 'I 4/m m m'
_symmetry_Int_Tables_number 139
_symmetry_space_group_name_Hall '-I 4 2'
_cell_length_a 4.661
_cell_length_b 4.661
_cell_length_c 12.872
_cell_angle_alpha 90.00
_cell_angle_beta 90.00
_cell_angle_gamma 90.00
loop_
_atom_site_label
_atom_site_type_symbol
_atom_site_fract_x
_atom_site_fract_y
_atom_site_fract_z
La1 La 0.000 0.000 0.000
Tl1 Tl 0.000 0.000 0.389
Cd1 Cd 0.000 0.500 0.250
```

Size of the total moment = 0.00 μB per formula unit



Record 7
The following is a PBE-GGA calculation of an optimized crystal structure of LaTl3Cd3, from Alexandria.

Structure (CIF):
```
data_LaTl3Cd3
_symmetry_space_group_name_H-M 'P m -3 n'
_symmetry_Int_Tables_number 223
_symmetry_space_group_name_Hall '-P 4n 2 3'
_cell_length_a 7.953
_cell_length_b 7.953
_cell_length_c 7.953
_cell_angle_alpha 90.00
_cell_angle_beta 90.00
_cell_angle_gamma 90.00
loop_
_atom_site_label
_atom_site_type_symbol
_atom_site_fract_x
_atom_site_fract_y
_atom_site_fract_z
La1 La 0.000 0.000 0.000
Tl1 Tl 0.000 0.250 0.500
Cd1 Cd 0.000 0.500 0.250
```

Size of the total moment = 0.24 μB per formula unit



Record 8
The following is a PBE-GGA calculation of an optimized crystal structure of LaTlCd, from Alexandria.

Structure (CIF):
```
data_LaTlCd
_symmetry_space_group_name_H-M 'I m m 2'
_symmetry_Int_Tables_number 44
_cell_length_a 3.660
_cell_length_b 4.907
_cell_length_c 9.829
_cell_angle_alpha 90.00
_cell_angle_beta 90.00
_cell_angle_gamma 90.00
loop_
_symmetry_equiv_pos_as_xyz
'x,y,z'
'-x,-y,z'
'-x,y,z'
'x,-y,z'
'x+1/2,y+1/2,z+1/2'
'-x+1/2,-y+1/2,z+1/2'
'-x+1/2,y+1/2,z+1/2'
'x+1/2,-y+1/2,z+1/2'
loop_
_atom_site_label
_atom_site_type_symbol
_atom_site_fract_x
_atom_site_fract_y
_atom_site_fract_z
La1 La 0.000 0.000 0.000
Tl1 Tl 0.000 0.000 0.334
Cd1 Cd 0.000 0.000 0.663
```

Size of the total moment = 0.00 μB per formula unit



no.,density of states at the Fermi level (states/eV/atom),formation energy (meV per atom)
1,1.408,-86.9
2,1.382,-199.9
3,0.566,-371.5
4,0.556,-376.0
5,0.384,-309.5
6,0.285,-170.8
7,0.907,352.1
8,0.808,-202.2